Computed, not measured: ZnTc3Ir after structural relaxation at the PBE-GGA level of DFT.

a = 4.707 Å, b = 4.707 Å, c = 4.707 Å
α = 90.00°, β = 90.00°, γ = 90.00°
Space group Pm-3m (No. 221)
One atom of each set of equivalent atoms:
1 Zn 0.000 0.000 0.000
2 Tc 0.000 0.500 0.500
3 Ir 0.500 0.500 0.500

formation energy from the elements: 1.732 eV/atom
energy relative to the lowest polymorph listed for this composition: 0.00 eV/f.u.